1.
Compound: Al2AsAu
Source: Alexandria via LeMat-Bulk
Functional: PBE
Structure: relaxed

a = 5.010 Å, b = 5.010 Å, c = 2.817 Å
α = 90.00°, β = 90.00°, γ = 90.09°
Element x y z (fractional)
Al (0.500, 0.500, 0.000)
Al (0.000, 0.000, 0.000)
Au (0.000, 0.500, 0.500)
As (0.500, 0.000, 0.500)

Values from the calculation:
The value obtained for the total magnetization is 0.000 μB/f.u. The calculation puts the calculated density at 7.7 g cm⁻³. The calculation puts the total DFT energy (no corrections) at -3.8948 eV per atom.


2.
Compound: Al2AsAu
Source: Alexandria via LeMat-Bulk
Functional: PBE
Structure: relaxed

a = 4.719 Å, b = 4.719 Å, c = 4.719 Å
α = 60.00°, β = 60.00°, γ = 60.00°
Element x y z (fractional)
As (0.500, 0.500, 0.500)
Al (0.000, 0.000, 0.000)
Al (0.750, 0.750, 0.750)
Au (0.250, 0.250, 0.250)

Values from the calculation:
The value obtained for the total magnetization is 0.000 μB/f.u. The calculation puts the calculated density at 7.3 g cm⁻³. The calculation puts the total DFT energy (no corrections) at -3.7119 eV per atom.


3.
Compound: Al2AsAu2
Source: Alexandria via LeMat-Bulk
Functional: PBE
Structure: relaxed

a = 3.999 Å, b = 3.999 Å, c = 6.583 Å
α = 72.32°, β = 72.32°, γ = 90.00°
Element x y z (fractional)
Au (0.384, 0.384, 0.231)
Au (0.616, 0.616, 0.769)
As (0.000, 0.000, 0.000)
Al (0.250, 0.750, 0.500)
Al (0.750, 0.250, 0.500)

Values from the calculation:
The energy above the most stable polymorph in this dataset comes out at 39 meV/atom. The value obtained for the total magnetization is 0.000 μB/f.u. The calculation puts the calculated density at 9.1 g cm⁻³. The calculation puts the total DFT energy (no corrections) at -3.8200 eV per atom.


4.
Compound: Al2AsAu
Source: Alexandria via LeMat-Bulk
Functional: PBE
Structure: relaxed

a = 3.388 Å, b = 2.839 Å, c = 7.522 Å
α = 90.01°, β = 90.00°, γ = 90.00°
Element x y z (fractional)
Au (0.500, 0.750, 0.750)
As (0.500, 0.250, 0.250)
Al (0.000, 0.250, 0.977)
Al (0.000, 0.250, 0.523)

Values from the calculation:
The value obtained for the total magnetization is 0.000 μB/f.u. The calculation puts the calculated density at 7.5 g cm⁻³. The calculation puts the total DFT energy (no corrections) at -3.9971 eV per atom.


Values for formation enthalpy at 0 K, eV per atom, ordered as above
-0.042, 0.141, -0.082, -0.144